Entry 1:
An optimized crystal structure of PrYTc, computed with PBE.

For the formation enthalpy at 0 K, the calculation gives 96 meV per atom. The space-group type is Cmce (64).

Cell lengths 7.1746, 7.1746, 7.6914 Å; angles 90.00, 90.00, 120.70 degrees
Element x y z (fractional)
Pr (0.1979, 0.8021, 0.8869)
Pr (0.3021, 0.6979, 0.3869)
Pr (0.6979, 0.3021, 0.6131)
Pr (0.8021, 0.1979, 0.1131)
Y (0.2091, 0.2909, 0.7500)
Y (0.2909, 0.2091, 0.2500)
Y (0.7091, 0.7909, 0.7500)
Y (0.7909, 0.7091, 0.2500)
Tc (0.0960, 0.9040, 0.5358)
Tc (0.4040, 0.5960, 0.0358)
Tc (0.5960, 0.4040, 0.9642)
Tc (0.9040, 0.0960, 0.4642)

---

Entry 2:
An optimized crystal structure of Na3Y3ZrSe8, computed with PBE.

The space-group type is R-3m (166). The raw formation energy is -1.63 eV/atom.

Cell lengths 8.5188, 8.5188, 8.5188 Å; angles 57.29, 57.29, 57.29 degrees
Element x y z (fractional)
Na (0.0000, 0.5000, 0.5000)
Na (0.5000, 0.0000, 0.5000)
Na (0.5000, 0.5000, 0.0000)
Y (0.0000, 0.0000, 0.5000)
Y (0.0000, 0.5000, 0.0000)
Y (0.5000, 0.0000, 0.0000)
Zr (0.5000, 0.5000, 0.5000)
Se (0.2435, 0.2435, 0.2435)
Se (0.2549, 0.7331, 0.7331)
Se (0.2669, 0.2669, 0.7451)
Se (0.2669, 0.7451, 0.2669)
Se (0.7331, 0.2549, 0.7331)
Se (0.7331, 0.7331, 0.2549)
Se (0.7451, 0.2669, 0.2669)
Se (0.7565, 0.7565, 0.7565)

---

Entry 3:
An optimized crystal structure of CeTm2PtN4, computed with PBE.

The space-group type is Cmcm (63). The raw formation energy is -1.02 eV/atom.

Cell lengths 6.0205, 6.0205, 11.5925 Å; angles 90.00, 90.00, 147.37 degrees
Element x y z (fractional)
Ce (0.1176, 0.8824, 0.7500)
Ce (0.8824, 0.1176, 0.2500)
Tm (0.3722, 0.6278, 0.5474)
Tm (0.3722, 0.6278, 0.9526)
Tm (0.6278, 0.3722, 0.0474)
Tm (0.6278, 0.3722, 0.4526)
Pt (0.1445, 0.8555, 0.2500)
Pt (0.8555, 0.1445, 0.7500)
N (0.0000, 0.0000, 0.0000)
N (0.0000, 0.0000, 0.5000)
N (0.2785, 0.7215, 0.1249)
N (0.2785, 0.7215, 0.3751)
N (0.4635, 0.5365, 0.7500)
N (0.5365, 0.4635, 0.2500)
N (0.7215, 0.2785, 0.6249)
N (0.7215, 0.2785, 0.8751)

---

no.,theoretical density (kg/m³),total magnetic moment (μB/atom),electronic total energy (eV/atom)
1,6396,0.0000,-7.108
2,4289,0.0000,-5.617
3,10687,0.0000,-7.797